{
  "formula": "LaGa",
  "functional": "PBE-GGA",
  "state": "relaxed",
  "cell": [[-5.165, 5.165, 1.937], [5.165, -5.165, 1.937], [5.165, 5.165, -1.937]],
  "species": ["La", "La", "La", "La", "Ga", "Ga", "Ga", "Ga"],
  "fractional_positions": [[0.158, 0.158, 0.316], [0.158, 0.842, 0.000], [0.842, 0.158, 0.000], [0.842, 0.842, 0.684], [0.141, 0.500, 0.641], [0.500, 0.141, 0.641], [0.500, 0.859, 0.359], [0.859, 0.500, 0.359]],
  "e_form_mev_per_atom": -329.2,
  "crystal_system": "tetragonal"
}

***

{
  "formula": "La3Ga8",
  "functional": "PBE-GGA",
  "state": "relaxed",
  "cell": [[-2.173, 2.225, 12.754], [2.173, -2.225, 12.754], [2.173, 2.225, -12.754]],
  "species": ["La", "La", "La", "Ga", "Ga", "Ga", "Ga", "Ga", "Ga", "Ga", "Ga"],
  "fractional_positions": [[0.000, 0.000, 0.000], [0.147, 0.647, 0.500], [0.853, 0.353, 0.500], [0.249, 0.249, 0.000], [0.307, 0.807, 0.500], [0.404, 0.904, 0.500], [0.451, 0.451, 0.000], [0.549, 0.549, 0.000], [0.596, 0.096, 0.500], [0.693, 0.193, 0.500], [0.751, 0.751, 0.000]],
  "e_form_mev_per_atom": -637.8,
  "crystal_system": "orthorhombic"
}

***

{
  "formula": "LaGa",
  "functional": "PBE-GGA",
  "state": "relaxed",
  "cell": [[8.401, 0.000, 0.000], [0.000, 8.401, 0.000], [0.000, 0.000, 8.401]],
  "species": ["La", "La", "La", "La", "La", "La", "Ga", "Ga", "Ga", "Ga", "Ga", "Ga"],
  "fractional_positions": [[0.000, 0.250, 0.500], [0.000, 0.750, 0.500], [0.250, 0.500, 0.000], [0.500, 0.000, 0.250], [0.500, 0.000, 0.750], [0.750, 0.500, 0.000], [0.000, 0.500, 0.250], [0.000, 0.500, 0.750], [0.250, 0.000, 0.500], [0.500, 0.250, 0.000], [0.500, 0.750, 0.000], [0.750, 0.000, 0.500]],
  "e_form_mev_per_atom": 416.4,
  "crystal_system": "cubic"
}

***

{
  "formula": "LiLaGa",
  "functional": "PBE-GGA",
  "state": "relaxed",
  "cell": [[7.325, 0.000, 0.000], [-3.663, 6.344, 0.000], [0.000, 0.000, 4.712]],
  "species": ["Li", "Li", "Li", "La", "La", "La", "Ga", "Ga", "Ga"],
  "fractional_positions": [[0.000, 0.226, 0.000], [0.226, 0.000, 0.000], [0.774, 0.774, 0.000], [0.000, 0.577, 0.500], [0.423, 0.423, 0.500], [0.577, 0.000, 0.500], [0.000, 0.000, 0.500], [0.333, 0.667, 0.000], [0.667, 0.333, 0.000]],
  "e_form_mev_per_atom": -379.8,
  "relative_energy_mev_per_atom": 0,
  "crystal_system": "hexagonal"
}

***

{
  "formula": "Li2LaGa2",
  "functional": "PBE-GGA",
  "state": "relaxed",
  "cell": [[-2.187, 2.258, 10.869], [2.187, -2.258, 10.869], [2.187, 2.258, -10.869]],
  "species": ["Li", "Li", "Li", "Li", "La", "La", "Ga", "Ga", "Ga", "Ga"],
  "fractional_positions": [[0.208, 0.458, 0.750], [0.287, 0.037, 0.250], [0.713, 0.963, 0.750], [0.792, 0.542, 0.250], [0.417, 0.667, 0.750], [0.583, 0.333, 0.250], [0.031, 0.781, 0.250], [0.146, 0.896, 0.250], [0.854, 0.104, 0.750], [0.969, 0.219, 0.750]],
  "e_form_mev_per_atom": -388.5,
  "relative_energy_mev_per_atom": 0,
  "crystal_system": "orthorhombic"
}

***

{
  "formula": "Li2LaGa6",
  "functional": "PBE-GGA",
  "state": "relaxed",
  "cell": [[7.807, 0.000, 0.000], [-3.903, 6.761, 0.000], [0.000, 0.000, 3.477]],
  "species": ["Li", "Li", "La", "Ga", "Ga", "Ga", "Ga", "Ga", "Ga"],
  "fractional_positions": [[0.333, 0.667, 0.000], [0.667, 0.333, 0.000], [0.000, 0.000, 0.000], [0.000, 0.341, 0.500], [0.000, 0.659, 0.500], [0.341, 0.000, 0.500], [0.341, 0.341, 0.500], [0.659, 0.000, 0.500], [0.659, 0.659, 0.500]],
  "e_form_mev_per_atom": -304.4,
  "relative_energy_mev_per_atom": 52,
  "crystal_system": "hexagonal"
}

***

{
  "formula": "Li2LaGa2",
  "functional": "PBE-GGA",
  "state": "relaxed",
  "cell": [[-2.185, 2.185, 5.680], [2.185, -2.185, 5.680], [2.185, 2.185, -5.680]],
  "species": ["Li", "Li", "La", "Ga", "Ga"],
  "fractional_positions": [[0.250, 0.750, 0.500], [0.750, 0.250, 0.500], [0.000, 0.000, 0.000], [0.391, 0.391, 0.000], [0.609, 0.609, 0.000]],
  "e_form_mev_per_atom": -361.1,
  "relative_energy_mev_per_atom": 27,
  "crystal_system": "tetragonal"
}

***

{
  "formula": "LiLaGa3",
  "functional": "PBE-GGA",
  "state": "relaxed",
  "cell": [[5.751, 0.000, 0.000], [0.000, 5.751, 0.000], [0.000, 0.000, 5.751]],
  "species": ["Li", "La", "Ga", "Ga", "Ga"],
  "fractional_positions": [[0.000, 0.000, 0.000], [0.500, 0.500, 0.500], [0.000, 0.500, 0.500], [0.500, 0.000, 0.500], [0.500, 0.500, 0.000]],
  "e_form_mev_per_atom": 599.7,
  "relative_energy_mev_per_atom": 1041,
  "crystal_system": "cubic"
}

***

What did the fourth record say?
{
  "formula": "LiLaGa",
  "functional": "PBE-GGA",
  "state": "relaxed",
  "cell": [[7.325, 0.000, 0.000], [-3.663, 6.344, 0.000], [0.000, 0.000, 4.712]],
  "species": ["Li", "Li", "Li", "La", "La", "La", "Ga", "Ga", "Ga"],
  "fractional_positions": [[0.000, 0.226, 0.000], [0.226, 0.000, 0.000], [0.774, 0.774, 0.000], [0.000, 0.577, 0.500], [0.423, 0.423, 0.500], [0.577, 0.000, 0.500], [0.000, 0.000, 0.500], [0.333, 0.667, 0.000], [0.667, 0.333, 0.000]],
  "e_form_mev_per_atom": -379.8,
  "relative_energy_mev_per_atom": 0,
  "crystal_system": "hexagonal"
}

***

Please write out number 8 again, unchanged.
{
  "formula": "LiLaGa3",
  "functional": "PBE-GGA",
  "state": "relaxed",
  "cell": [[5.751, 0.000, 0.000], [0.000, 5.751, 0.000], [0.000, 0.000, 5.751]],
  "species": ["Li", "La", "Ga", "Ga", "Ga"],
  "fractional_positions": [[0.000, 0.000, 0.000], [0.500, 0.500, 0.500], [0.000, 0.500, 0.500], [0.500, 0.000, 0.500], [0.500, 0.500, 0.000]],
  "e_form_mev_per_atom": 599.7,
  "relative_energy_mev_per_atom": 1041,
  "crystal_system": "cubic"
}

***

Repeat the eighth record exactly.
{
  "formula": "LiLaGa3",
  "functional": "PBE-GGA",
  "state": "relaxed",
  "cell": [[5.751, 0.000, 0.000], [0.000, 5.751, 0.000], [0.000, 0.000, 5.751]],
  "species": ["Li", "La", "Ga", "Ga", "Ga"],
  "fractional_positions": [[0.000, 0.000, 0.000], [0.500, 0.500, 0.500], [0.000, 0.500, 0.500], [0.500, 0.000, 0.500], [0.500, 0.500, 0.000]],
  "e_form_mev_per_atom": 599.7,
  "relative_energy_mev_per_atom": 1041,
  "crystal_system": "cubic"
}